Compound: Fe2ReIrPt
Source: the Alexandria database
Functional: PBE-GGA
Structure: relaxed

Properties
Mass density ... 12.39 g cm⁻³
E_tot ... -36.6 eV per cell
Formation enthalpy at 0 K ... 1.542 eV per atom

Unit cell a=4.418 b=4.418 c=4.706 alpha=90.00 beta=90.00 gamma=90.00
Space group P4/mmm (No. 123)
Inequivalent atoms, fractional coordinates:
1 Fe 0.000 0.500 0.000
2 Re 0.000 0.000 0.000
3 Ir 0.000 0.000 0.500
4 Pt 0.500 0.500 0.500